! BaTlAs2 (PBE-GGA, relaxed); values from VASP
&SYSTEM
  ibrav = 0, nat = 4, ntyp = 3
/
ATOMIC_SPECIES
As 74.92 As.upf
Tl 204.38 Tl.upf
Ba 137.33 Ba.upf
ATOMIC_POSITIONS angstrom
As -8.300 -5.194 4.217
Tl -0.963 -1.979 2.986
Ba -4.659 -2.915 2.367
As -3.482 0.228 2.513
CELL_PARAMETERS angstrom
-6.478 -0.270 1.537
-2.527 -5.365 3.038
5.110 4.228 0.645
! Energy of formation from the pure elements = -0.4633 eV per atom
! Electronic total energy = -3.860 eV per atom
! Fermi-level density of states = 0.24 states/eV per atom

=====

! AlGa2Pb (PBE-GGA, relaxed); values from VASP
&SYSTEM
  ibrav = 0, nat = 4, ntyp = 3
/
ATOMIC_SPECIES
Ga 69.72 Ga.upf
Pb 207.20 Pb.upf
Al 26.98 Al.upf
ATOMIC_POSITIONS angstrom
Ga 2.188 1.263 4.767
Ga 2.188 1.263 0.993
Pb 4.377 2.527 2.973
Al 6.565 3.790 5.511
CELL_PARAMETERS angstrom
4.377 0.000 0.000
2.188 3.790 0.000
2.188 1.263 5.698
! Energy of formation from the pure elements = 0.1236 eV per atom
! Electronic total energy = -3.253 eV per atom
! Fermi-level density of states = 0.36 states/eV per atom

=====

! Y2ScPbCl (PBE-GGA, relaxed); values from VASP
&SYSTEM
  ibrav = 0, nat = 5, ntyp = 4
/
ATOMIC_SPECIES
Sc 44.96 Sc.upf
Y 88.91 Y.upf
Cl 35.45 Cl.upf
Pb 207.20 Pb.upf
ATOMIC_POSITIONS angstrom
Sc 0.000 0.000 0.000
Y -0.104 -2.643 1.065
Cl -3.633 -3.156 -0.552
Y -2.715 0.415 0.766
Pb -0.815 -0.929 -2.383
CELL_PARAMETERS angstrom
-5.429 0.831 1.533
-1.630 -1.858 -4.767
-0.207 -5.285 2.130
! E_form (uncorrected) = 0.29 eV/atom
! Electronic total energy = -4.672 eV per atom
! Fermi-level density of states = 0.82 states/eV per atom

=====

! NaTlHgAu (PBE-GGA, relaxed); values from VASP
&SYSTEM
  ibrav = 0, nat = 4, ntyp = 4
/
ATOMIC_SPECIES
Tl 204.38 Tl.upf
Hg 200.59 Hg.upf
Na 22.99 Na.upf
Au 196.97 Au.upf
ATOMIC_POSITIONS angstrom
Tl 3.763 -2.761 1.732
Hg 1.528 -2.644 -0.433
Na 1.372 -0.072 1.328
Au 3.595 -0.188 3.481
CELL_PARAMETERS angstrom
-1.112 -3.416 0.964
2.882 -1.806 -3.074
4.800 1.486 3.627
! Energy of formation from the pure elements = -0.1505 eV per atom
! Electronic total energy = -1.967 eV per atom
! Fermi-level density of states = 0.38 states/eV per atom

=====

! Tb2Tm8Th3 (PBE-GGA, relaxed); values from VASP
&SYSTEM
  ibrav = 0, nat = 13, ntyp = 3
/
ATOMIC_SPECIES
Th 232.04 Th.upf
Tb 158.93 Tb.upf
Tm 168.93 Tm.upf
ATOMIC_POSITIONS angstrom
Th -1.303 -0.800 -0.334
Tb -0.858 -0.085 3.550
Th -1.807 2.372 1.366
Tm -4.552 0.607 2.457
Tm -7.285 -1.072 1.756
Tm -3.352 2.055 8.152
Tm -0.415 1.011 6.891
Tb -6.842 0.023 5.097
Th -6.349 -3.900 -1.628
Tm -2.681 2.418 4.665
Tm -3.149 -0.668 6.190
Tm -4.348 -2.117 0.495
Tm -5.019 -2.479 3.983
CELL_PARAMETERS angstrom
-3.614 4.743 2.731
-7.652 -4.701 -1.962
3.566 -0.105 7.877
! Energy of formation from the pure elements = 0.2779 eV per atom
! Electronic total energy = -4.898 eV per atom
! Fermi-level density of states = 1.60 states/eV per atom

=====

! MnV2Sn (PBE-GGA, relaxed); values from VASP
&SYSTEM
  ibrav = 0, nat = 8, ntyp = 3
/
ATOMIC_SPECIES
V 50.94 V.upf
Mn 54.94 Mn.upf
Sn 118.71 Sn.upf
ATOMIC_POSITIONS angstrom
V 2.214 5.241 0.652
Mn 3.494 6.988 1.304
V 4.774 1.747 0.652
V 8.734 8.268 1.956
Sn 6.988 3.494 1.304
Sn 0.000 0.000 0.000
V 5.241 5.707 1.956
Mn 3.494 3.494 0.000
CELL_PARAMETERS angstrom
6.988 0.000 0.000
0.000 6.988 0.000
3.494 3.494 2.608
! Energy of formation from the pure elements = 0.3830 eV per atom
! Electronic total energy = -7.469 eV per atom
! Fermi-level density of states = 1.15 states/eV per atom